one | ## Li2IBr2 (PBE)

Data for a geometry-optimized Li2IBr2 structure.

Calculated density, g/cm3: 2.92
Total moment, μB per formula unit: 0.00

abc: 10.152 10.152 3.312
angles: 90.00 90.00 90.00
Space group P4/mbm (No. 127)
Inequivalent atoms, fractional coordinates:
Li (0.088, 0.412, 0.000) [4 per cell]
I (0.000, 0.000, 0.500) [2 per cell]
Br (0.118, 0.618, 0.500) [4 per cell]

two | ## Li2IBr2 (PBE)

Data for a geometry-optimized Li2IBr2 structure.

Calculated density, g/cm3: 2.91
Total moment, μB per formula unit: 1.00

abc: 4.253 4.253 18.977
angles: 90.00 90.00 90.00
Space group I4/mmm (No. 139)
Inequivalent atoms, fractional coordinates:
Li (0.000, 0.500, 0.250) [4 per cell]
I (0.000, 0.000, 0.000) [2 per cell]
Br (0.000, 0.000, 0.321) [4 per cell]

two is preferred energetically. Next in line: 151 meV per atom higher.

one | ## LiIBr3 (PBE)

Data for a geometry-optimized LiIBr3 structure.

Calculated density, g/cm3: 3.03
Total moment, μB per formula unit: 0.00

abc: 4.405 9.507 10.219
angles: 100.61 101.82 93.96
Space group P-1 (No. 2)
Inequivalent atoms, fractional coordinates:
Li (0.219, 0.208, 0.236) [2 per cell]
I (0.483, 0.205, 0.701) [2 per cell]
Br (0.127, 0.942, 0.101) [2 per cell]
Br (0.259, 0.664, 0.762) [2 per cell]
Br (0.366, 0.731, 0.519) [2 per cell]

two | ## LiIBr3 (PBE)

Data for a geometry-optimized LiIBr3 structure.

Calculated density, g/cm3: 3.02
Total moment, μB per formula unit: 0.00

abc: 5.900 5.900 5.900
angles: 90.00 90.00 90.00
Space group Pm-3m (No. 221)
Inequivalent atoms, fractional coordinates:
Li (0.000, 0.000, 0.000) [1 per cell]
I (0.500, 0.500, 0.500) [1 per cell]
Br (0.000, 0.500, 0.500) [3 per cell]

one is preferred energetically. Next in line: 326 meV per atom higher.

one | ## LiI2Br (PBE)

Data for a geometry-optimized LiI2Br structure.

Calculated density, g/cm3: 3.56
Total moment, μB per formula unit: 0.00

abc: 4.452 5.782 6.404
angles: 84.61 85.51 75.63
Space group P1 (No. 1)
Inequivalent atoms, fractional coordinates:
Li (0.000, 0.000, 0.000) [1 per cell]
I (0.090, 0.609, 0.304) [1 per cell]
I (0.755, 0.912, 0.605) [1 per cell]
Br (0.431, 0.216, 0.956) [1 per cell]

two | ## LiI2Br (PBE)

Data for a geometry-optimized LiI2Br structure.

Calculated density, g/cm3: 3.77
Total moment, μB per formula unit: 0.00

abc: 5.344 4.417 12.723
angles: 90.00 90.25 90.00
Space group P2_1 (No. 4)
Inequivalent atoms, fractional coordinates:
Li (0.041, 0.000, 0.402) [2 per cell]
I (0.136, 0.113, 0.082) [2 per cell]
I (0.414, 0.826, 0.240) [2 per cell]
Br (0.204, 0.005, 0.592) [2 per cell]

two is preferred energetically. Next in line: 20 meV per atom higher.

one | ## LiI2Br (PBE)

Data for a geometry-optimized LiI2Br structure.

Calculated density, g/cm3: 3.64
Total moment, μB per formula unit: 0.00

abc: 5.314 7.514 8.435
angles: 108.31 102.03 91.51
Space group P-1 (No. 2)
Inequivalent atoms, fractional coordinates:
Li (0.203, 0.455, 0.361) [2 per cell]
I (0.003, 0.235, 0.757) [2 per cell]
I (0.335, 0.057, 0.251) [2 per cell]
Br (0.317, 0.571, 0.692) [2 per cell]

two | ## LiI2Br (PBE)

Data for a geometry-optimized LiI2Br structure.

Calculated density, g/cm3: 3.47
Total moment, μB per formula unit: 0.00

abc: 6.708 7.196 7.687
angles: 104.26 102.55 107.28
Space group P1 (No. 1)
Inequivalent atoms, fractional coordinates:
Li (0.000, 0.000, 0.000) [1 per cell]
Li (0.037, 0.478, 0.623) [1 per cell]
I (0.087, 0.763, 0.378) [1 per cell]
I (0.452, 0.699, 0.582) [1 per cell]
I (0.475, 0.211, 0.075) [1 per cell]
I (0.801, 0.099, 0.289) [1 per cell]
Br (0.119, 0.297, 0.879) [1 per cell]
Br (0.811, 0.626, 0.806) [1 per cell]

three | ## LiI2Br (PBE)

Data for a geometry-optimized LiI2Br structure.

Calculated density, g/cm3: 3.47
Total moment, μB per formula unit: 0.00

abc: 5.642 5.642 20.474
angles: 90.00 90.00 90.00
Space group I-42d (No. 122)
Inequivalent atoms, fractional coordinates:
Li (0.000, 0.000, 0.000) [4 per cell]
I (0.082, 0.250, 0.125) [8 per cell]
Br (0.000, 0.000, 0.500) [4 per cell]

one is preferred energetically. Next in line: 18 meV per atom higher.

one | ## LiI2Br (PBE)

Data for a geometry-optimized LiI2Br structure.

Calculated density, g/cm3: 3.37
Total moment, μB per formula unit: 0.00

abc: 15.627 8.494 5.345
angles: 90.00 108.87 90.00
Space group C2/c (No. 15)
Inequivalent atoms, fractional coordinates:
Li (0.000, 0.129, 0.250) [4 per cell]
I (0.178, 0.238, 0.597) [8 per cell]
Br (0.000, 0.174, 0.750) [4 per cell]

two | ## LiI2Br (PBE)

Data for a geometry-optimized LiI2Br structure.

Calculated density, g/cm3: 4.34
Total moment, μB per formula unit: 2.00

abc: 8.050 8.050 8.050
angles: 90.00 90.00 90.00
Space group Fm-3m (No. 225)
Inequivalent atoms, fractional coordinates:
Li (0.000, 0.000, 0.000) [4 per cell]
I (0.250, 0.250, 0.250) [8 per cell]
Br (0.000, 0.000, 0.500) [4 per cell]

three | ## LiI2Br (PBE)

Data for a geometry-optimized LiI2Br structure.

Calculated density, g/cm3: 2.94
Total moment, μB per formula unit: 0.00

abc: 4.442 8.706 10.858
angles: 71.73 80.90 75.30
Space group P1 (No. 1)
Inequivalent atoms, fractional coordinates:
Li (0.000, 0.000, 0.000) [1 per cell]
Li (0.287, 0.309, 0.146) [1 per cell]
I (0.096, 0.664, 0.014) [1 per cell]
I (0.367, 0.723, 0.747) [1 per cell]
I (0.634, 0.809, 0.470) [1 per cell]
I (0.684, 0.532, 0.377) [1 per cell]
Br (0.436, 0.130, 0.996) [1 per cell]
Br (0.762, 0.259, 0.274) [1 per cell]

three is preferred energetically. Next in line: 14 meV per atom higher.

one | ## LiI2Br (PBE)

Data for a geometry-optimized LiI2Br structure.

Calculated density, g/cm3: 3.98
Total moment, μB per formula unit: 0.00

abc: 4.405 4.406 16.823
angles: 84.95 84.96 61.04
Space group P1 (No. 1)
Inequivalent atoms, fractional coordinates:
Li (0.000, 0.000, 0.000) [1 per cell]
Li (0.367, 0.396, 0.799) [1 per cell]
I (0.305, 0.272, 0.445) [1 per cell]
I (0.617, 0.024, 0.149) [1 per cell]
I (0.910, 0.712, 0.296) [1 per cell]
I (0.984, 0.536, 0.591) [1 per cell]
Br (0.330, 0.355, 0.956) [1 per cell]
Br (0.711, 0.737, 0.767) [1 per cell]

two | ## LiI2Br (PBE)

Data for a geometry-optimized LiI2Br structure.

Calculated density, g/cm3: 2.66
Total moment, μB per formula unit: 0.00

abc: 7.367 7.471 8.749
angles: 81.51 76.53 65.65
Space group P1 (No. 1)
Inequivalent atoms, fractional coordinates:
Li (0.000, 0.000, 0.000) [1 per cell]
Li (0.262, 0.354, 0.988) [1 per cell]
I (0.108, 0.392, 0.452) [1 per cell]
I (0.205, 0.553, 0.681) [1 per cell]
I (0.634, 0.018, 0.921) [1 per cell]
I (0.862, 0.199, 0.686) [1 per cell]
Br (0.006, 0.247, 0.149) [1 per cell]
Br (0.296, 0.681, 0.950) [1 per cell]

one is preferred energetically. Next in line: 41 meV per atom higher.

one | ## Li3IBr (PBE)

Data for a geometry-optimized Li3IBr structure.

Calculated density, g/cm3: 2.53
Total moment, μB per formula unit: 0.00

abc: 5.309 5.309 5.309
angles: 90.00 90.00 90.00
Space group Pm-3m (No. 221)
Inequivalent atoms, fractional coordinates:
Li (0.000, 0.000, 0.500) [3 per cell]
I (0.000, 0.000, 0.000) [1 per cell]
Br (0.500, 0.500, 0.500) [1 per cell]

two | ## Li3IBr (PBE)

Data for a geometry-optimized Li3IBr structure.

Calculated density, g/cm3: 2.83
Total moment, μB per formula unit: 0.00

abc: 5.111 5.111 5.111
angles: 90.00 90.00 90.00
Space group Pm-3m (No. 221)
Inequivalent atoms, fractional coordinates:
Li (0.000, 0.000, 0.500) [3 per cell]
I (0.500, 0.500, 0.500) [1 per cell]
Br (0.000, 0.000, 0.000) [1 per cell]

two is preferred energetically. Next in line: 169 meV per atom higher.

one | ## Li5IBr4 (PBE)

Data for a geometry-optimized Li5IBr4 structure.

Calculated density, g/cm3: 2.93
Total moment, μB per formula unit: 0.00

abc: 4.2781 4.2781 34.3917
angles: 90.00 90.00 120.00
Space group P3m1 (No. 156)
Inequivalent atoms, fractional coordinates:
Li (0.0000, 0.0000, 0.0000) [1 per cell]
Li (0.0000, 0.0000, 0.1932) [1 per cell]
Li (0.0000, 0.0000, 0.3863) [1 per cell]
Li (0.0000, 0.0000, 0.5793) [1 per cell]
Li (0.0000, 0.0000, 0.7899) [1 per cell]
Li (0.3333, 0.6667, 0.0967) [1 per cell]
Li (0.3333, 0.6667, 0.2898) [1 per cell]
Li (0.3333, 0.6667, 0.4831) [1 per cell]
Li (0.3333, 0.6667, 0.6942) [1 per cell]
Li (0.3333, 0.6667, 0.9037) [1 per cell]
I (0.0000, 0.0000, 0.6614) [1 per cell]
I (0.0000, 0.0000, 0.8715) [1 per cell]
Br (0.0000, 0.0000, 0.0746) [1 per cell]
Br (0.0000, 0.0000, 0.2677) [1 per cell]
Br (0.0000, 0.0000, 0.4609) [1 per cell]
Br (0.3333, 0.6667, 0.1712) [1 per cell]
Br (0.3333, 0.6667, 0.3642) [1 per cell]
Br (0.3333, 0.6667, 0.5576) [1 per cell]
Br (0.3333, 0.6667, 0.7679) [1 per cell]
Br (0.3333, 0.6667, 0.9778) [1 per cell]

two | ## Li5IBr4 (PBE)

Data for a geometry-optimized Li5IBr4 structure.

Calculated density, g/cm3: 3.57
Total moment, μB per formula unit: 0.00

abc: 3.995 3.995 28.023
angles: 90.00 90.00 90.00
Space group I4/mmm (No. 139)
Inequivalent atoms, fractional coordinates:
Li (0.000, 0.000, 0.000) [2 per cell]
Li (0.000, 0.000, 0.201) [4 per cell]
Li (0.000, 0.000, 0.393) [4 per cell]
I (0.000, 0.000, 0.500) [2 per cell]
Br (0.000, 0.000, 0.104) [4 per cell]
Br (0.000, 0.000, 0.298) [4 per cell]

one is preferred energetically. Next in line: 34 meV per atom higher.